IrOs2Rh4 | PBE-GGA | optimized geometry

Properties
Energy above the lowest structure with this stoichiometry = 0 meV/atom
E_form = 0.3265 eV per atom

```
7
Lattice="4.5892 -0.2827 0.5627 -0.7564 6.4348 -2.8560 0.8924 -1.3010 4.3574" Properties=species:S:1:pos:R:3 pbc="T T T"
Ir 0.0000 0.0000 0.0000
Os 2.7408 -0.7919 2.4600
Os 1.9164 3.0760 -1.1467
Rh -0.3441 4.4708 -1.0618
Rh 2.3971 3.6815 1.3985
Rh 2.3282 1.1696 0.6656
Rh 5.0694 0.3802 3.1259
```


IrOsRh2 | PBE-GGA | optimized geometry

Properties
Energy above the lowest structure with this stoichiometry = 19 meV/atom
E_form = 0.0280 eV per atom

```
4
Lattice="4.7269 0.0039 -0.0006 3.9455 2.6033 -0.0006 0.7748 0.2329 4.6480" Properties=species:S:1:pos:R:3 pbc="T T T"
Rh 8.6552 2.6021 0.0094
Rh 7.0986 2.1341 3.4857
Ir 4.7366 1.4240 2.2903
Os 2.3528 0.7073 1.1838
```


Ir4Os3Rh | PBE-GGA | optimized geometry

Properties
E_form = 0.3604 eV per atom

```
8
Lattice="4.4612 0.0000 0.0000 0.0000 4.7815 0.1675 -2.2306 -2.5001 5.5289" Properties=species:S:1:pos:R:3 pbc="T T T"
Ir 0.0000 2.0811 1.5279
Ir 2.2306 0.2003 4.1685
Ir 2.2306 2.7015 2.8653
Ir 0.0000 -0.4200 2.8311
Os 0.0000 1.9608 4.1530
Os 2.2306 0.3206 1.5433
Os 2.2306 2.3908 0.0838
Rh 0.0000 0.0000 0.0000
```


Ir6Os3Rh | PBE-GGA | optimized geometry

Properties
Energy above the lowest structure with this stoichiometry = 0 meV/atom
E_form = 0.1511 eV per atom

```
20
Lattice="2.7321 0.0000 0.0000 0.0000 9.6069 -2.6639 0.0000 0.8119 11.0089" Properties=species:S:1:pos:R:3 pbc="T T T"
Ir 2.0490 5.2793 6.3142
Ir 0.6830 5.1395 2.0308
Ir 2.0490 7.8002 -1.3652
Ir 0.6830 2.6186 9.7102
Ir 2.0490 3.4353 0.4619
Ir 0.6830 6.9835 7.8831
Ir 2.0490 7.3490 1.3853
Ir 0.6830 3.0698 6.9597
Ir 2.0490 1.6059 4.9641
Ir 0.6830 8.8129 3.3809
Ir 2.0490 8.0148 5.7749
Ir 0.6830 2.4040 2.5701
Os 2.0490 4.8231 8.8736
Os 0.6830 5.5957 -0.5286
Os 2.0490 6.3286 3.8689
Os 0.6830 4.0902 4.4761
Os 2.0490 0.7990 0.8197
Os 0.6830 9.6197 7.5252
Rh 2.0490 0.9568 7.9012
Rh 0.6830 9.4620 0.4438
```


IrOs2Rh | PBE-GGA | optimized geometry

Properties
Energy above the lowest structure with this stoichiometry = 1144 meV/atom
E_form = 1.1910 eV per atom

```
8
Lattice="5.5585 0.0000 0.0000 0.0000 5.5585 0.0000 2.7793 2.7793 5.5214" Properties=species:S:1:pos:R:3 pbc="T T T"
Rh 2.7793 2.7793 0.0000
Rh 2.7793 5.5585 2.7607
Ir 0.0000 0.0000 0.0000
Ir 5.5585 2.7793 2.7607
Os 4.1769 1.3896 1.3804
Os 1.3816 4.1689 1.3804
Os 4.1689 4.1608 4.1411
Os 6.9481 6.9562 4.1411
```


IrOsRh3 | PBE-GGA | optimized geometry

Properties
Energy above the lowest structure with this stoichiometry = 338 meV/atom
E_form = 0.7664 eV per atom

```
10
Lattice="-5.1340 -1.9709 2.0757 1.7276 -5.3135 1.8257 1.0808 1.8849 4.4630" Properties=species:S:1:pos:R:3 pbc="T T T"
Ir -0.5604 -1.3049 2.0670
Ir -1.7652 -4.0945 6.2973
Os 0.0000 0.0000 0.0000
Os 0.5404 0.9424 2.2315
Rh -3.5218 -4.5983 4.1751
Rh -1.7032 -3.6422 1.9507
Rh 1.1962 -0.8011 4.1892
Rh -1.1190 0.3268 4.2736
Rh -1.2066 -5.7262 4.0908
Rh -1.1628 -2.6997 4.1822
```


Ir3Os3Rh5 | PBE-GGA | optimized geometry

Properties
E_form = 0.6172 eV per atom

```
11
Lattice="2.6768 0.0000 0.0000 0.0000 7.5615 -4.3656 0.0000 0.0000 8.7313" Properties=species:S:1:pos:R:3 pbc="T T T"
Ir 0.0000 4.4039 -2.5426
Ir 0.0000 0.0000 5.0851
Ir 0.0000 3.1577 1.8231
Os 1.3384 6.3037 -3.6395
Os 1.3384 1.2578 0.7262
Os 1.3384 0.0000 7.2789
Rh 1.3384 5.0410 0.0000
Rh 1.3384 2.5205 4.3656
Rh 1.3384 2.5135 -1.4511
Rh 1.3384 5.0481 2.9145
Rh 1.3384 0.0000 2.9023
```


Ir4OsRh | PBE-GGA | optimized geometry

Properties
Energy above the lowest structure with this stoichiometry = 0 meV/atom
E_form = 0.0050 eV per atom

```
6
Lattice="2.7300 0.0000 0.0000 0.0000 3.8676 -0.0003 0.0000 0.0006 8.2032" Properties=species:S:1:pos:R:3 pbc="T T T"
Ir 0.0000 1.9340 2.7558
Ir 1.3650 0.0002 1.3798
Ir 0.0000 1.9342 5.4471
Ir 1.3650 3.8680 6.8231
Os 1.3650 0.0003 4.1016
Rh 0.0000 1.9338 -0.0001
```


IrOsRh4 | PBE-GGA | optimized geometry

Properties
Energy above the lowest structure with this stoichiometry = 0 meV/atom
E_form = 0.2063 eV per atom

```
12
Lattice="5.0885 -0.1201 0.7165 1.7392 5.5262 3.4470 -0.1496 0.4458 6.5218" Properties=species:S:1:pos:R:3 pbc="T T T"
Ir 4.2171 1.8998 2.7582
Ir 2.4611 3.9521 7.9270
Os 3.0689 5.1272 3.4552
Os 3.6092 0.7247 7.2300
Rh 5.6694 2.4803 7.1249
Rh 5.1836 0.8961 5.0730
Rh 4.9178 4.6944 8.4736
Rh 2.6986 1.8200 4.9466
Rh 3.9795 4.0319 5.7386
Rh 1.7604 1.1575 2.2116
Rh 1.4946 4.9558 5.6122
Rh 1.0087 3.3716 3.5603
```


IrOs3Rh2 | PBE-GGA | optimized geometry

Properties
Energy above the lowest structure with this stoichiometry = 0 meV/atom
E_form = 0.0608 eV per atom

```
12
Lattice="-1.0255 1.2211 2.2038 -6.8149 0.6736 -3.5443 -2.2645 -7.2830 2.9815" Properties=species:S:1:pos:R:3 pbc="T T T"
Ir -7.9061 -4.5376 -0.3254
Ir -2.1987 -0.8507 1.9664
Os -2.9290 -3.2583 2.9605
Os -7.1759 -2.1301 -1.3195
Os -5.5812 -0.4504 0.1707
Os -4.5237 -4.9379 1.4703
Os -3.0105 -0.0288 -0.5455
Os -7.0944 -5.3595 2.1865
Rh -3.7642 -2.4712 0.4570
Rh -6.3406 -2.9172 1.1840
Rh -3.7094 -5.6489 3.9219
Rh -6.3954 0.2605 -2.2809
```


IrOsRh3 | PBE-GGA | optimized geometry

Properties
Energy above the lowest structure with this stoichiometry = 0 meV/atom
E_form = 0.4280 eV per atom

```
10
Lattice="-1.2107 0.6831 2.2921 -4.3325 -4.8219 -0.8513 5.3276 -5.5771 4.4762" Properties=species:S:1:pos:R:3 pbc="T T T"
Ir 0.1840 -7.4097 3.8732
Ir -0.3996 -2.3061 2.0438
Os 3.6235 -4.5971 3.2840
Os -2.6284 -5.8019 0.3409
Rh 0.9704 -4.8972 3.5397
Rh -0.6053 0.3416 1.1461
Rh 2.4866 -6.4844 4.8136
Rh -1.1860 -4.8186 2.3773
Rh 2.0584 -2.4470 3.3841
Rh -2.7022 -3.2314 1.1034
```


Ir2OsRh | PBE-GGA | optimized geometry

Properties
Energy above the lowest structure with this stoichiometry = 0 meV/atom
E_form = -0.0083 eV per atom

```
4
Lattice="2.7296 0.0043 0.0000 -0.0045 2.7296 0.0000 0.0000 0.0000 7.7295" Properties=species:S:1:pos:R:3 pbc="T T T"
Os 1.3626 1.3670 1.9324
Ir 0.0000 0.0000 0.0373
Ir 0.0000 0.0000 3.8274
Rh 1.3626 1.3670 5.7971
```


IrOs2Rh6 | PBE-GGA | optimized geometry

Properties
Energy above the lowest structure with this stoichiometry = 0 meV/atom
E_form = 0.0122 eV per atom

```
9
Lattice="-3.7043 0.5172 -0.8899 0.9875 -2.3884 -5.4984 0.3856 -4.5203 4.0728" Properties=species:S:1:pos:R:3 pbc="T T T"
Ir -1.3584 -0.9356 -3.1942
Os -2.9966 -3.9117 1.8955
Os 0.6654 -2.4797 -4.2110
Rh -0.3294 -5.3431 -1.7339
Rh -2.0018 -1.0484 -0.5816
Rh -1.6668 -3.6044 -3.4615
Rh 0.0134 -2.6016 -1.5675
Rh -0.6644 -2.7871 1.1461
Rh -2.3446 -3.7899 -0.7480
```


Ir5OsRh2 | PBE-GGA | optimized geometry

Properties
Energy above the lowest structure with this stoichiometry = 0 meV/atom
E_form = -0.0080 eV per atom

```
8
Lattice="-2.5041 -2.3266 -1.8024 2.2926 -3.0260 0.7210 -3.5853 1.4721 7.2235" Properties=species:S:1:pos:R:3 pbc="T T T"
Ir -0.1058 -2.6763 -0.5407
Ir -1.6366 -2.4209 5.3989
Ir -4.0349 -2.0712 4.1372
Ir -2.1603 -1.4596 0.7432
Ir 0.2380 -1.8093 2.0049
Os 0.0000 0.0000 0.0000
Rh -1.9354 -3.2732 2.7719
Rh -1.8615 -0.6073 3.3702
```


IrOsRh2 | PBE-GGA | optimized geometry

Properties
Energy above the lowest structure with this stoichiometry = 58 meV/atom
E_form = 0.0660 eV per atom

```
4
Lattice="8.9897 -0.0148 -0.0087 8.5772 2.6918 -0.0087 8.5772 1.3071 2.3532" Properties=species:S:1:pos:R:3 pbc="T T T"
Rh 0.0363 0.0055 0.0032
Rh 6.5325 0.9955 0.5836
Ir 13.0397 1.9871 1.1650
Os 19.6119 2.9886 1.7522
```


IrOsRh2 | PBE-GGA | optimized geometry

Properties
Energy above the lowest structure with this stoichiometry = 64 meV/atom
E_form = 0.0730 eV per atom

```
4
Lattice="-0.9116 -4.7189 7.6517 -1.6076 -6.6707 5.8793 1.0197 -6.2325 6.4625" Properties=species:S:1:pos:R:3 pbc="T T T"
Rh -0.0018 -0.0206 0.0234
Rh -0.7480 -8.7905 9.9734
Ir -0.3749 -4.4055 4.9984
Os -1.1246 -13.2166 14.9951
```


IrOs4Rh | PBE-GGA | optimized geometry

Properties
Energy above the lowest structure with this stoichiometry = 734 meV/atom
E_form = 0.8167 eV per atom

```
6
Lattice="0.2375 -1.9524 4.6969 -2.5945 2.1831 3.7989 -4.0575 -2.3465 1.9900" Properties=species:S:1:pos:R:3 pbc="T T T"
Ir 0.0000 0.0000 0.0000
Os -2.2865 -1.7698 6.2809
Os -4.4344 -1.9669 4.9272
Os -3.7028 0.2983 5.8318
Os -2.4053 -0.7934 3.9320
Rh -4.8108 -1.5869 7.8644
```


Ir2Os4Rh5 | PBE-GGA | optimized geometry

Properties
E_form = 0.4067 eV per atom

```
11
Lattice="5.3032 0.0000 0.0000 -2.6516 6.6887 -4.8361 0.0000 -2.5686 6.5206" Properties=species:S:1:pos:R:3 pbc="T T T"
Ir 2.6516 3.3838 0.4334
Ir 0.0000 0.7363 1.2511
Os 2.6516 0.6695 1.2299
Os 0.0000 3.4506 0.4546
Os 2.6516 3.6752 -2.1099
Os 0.0000 0.4449 3.7943
Rh 1.3548 2.5636 2.6527
Rh 1.2968 1.5564 -0.9683
Rh 2.6516 -1.2843 3.2603
Rh -1.3548 2.5636 2.6527
Rh 4.0064 1.5564 -0.9683
```


Ir2OsRh | PBE-GGA | optimized geometry

Properties
Energy above the lowest structure with this stoichiometry = 28 meV/atom
E_form = 0.0194 eV per atom

```
4
Lattice="-3.8740 2.4776 -1.1464 -4.7339 0.2092 0.0826 -0.5946 2.4057 4.0243" Properties=species:S:1:pos:R:3 pbc="T T T"
Rh -6.9019 3.8193 2.2204
Ir -8.5879 2.6899 -1.0440
Ir -4.6213 2.5431 1.4604
Os -2.3006 1.2731 0.7401
```


Ir2OsRh | PBE-GGA | optimized geometry

Properties
Energy above the lowest structure with this stoichiometry = 605 meV/atom
E_form = 0.5969 eV per atom

```
4
Lattice="0.0000 3.1000 3.1000 3.1000 0.0000 3.1000 3.1000 3.1000 0.0000" Properties=species:S:1:pos:R:3 pbc="T T T"
Ir 0.0000 0.0000 0.0000
Ir 4.6500 4.6500 4.6500
Os 3.1000 3.1000 3.1000
Rh 1.5500 1.5500 1.5500
```